Density functional theory data (PBE) for a geometry-optimized Nd2Ag2Sn structure.

Cell: 6.1223 6.1223 11.3552 Å, 113.54 113.54 44.10°
Closest atoms and distances in Å follow each position.
Element x y z (fractional)
Nd: 0.0162 0.0162 0.3398  7 Ag 3.20-3.57, 3 Sn 3.30-3.31
Nd: 0.1892 0.1892 0.1044  6 Ag 3.15-3.51, 2 Sn 3.34
Nd: 0.8108 0.8108 0.8956  6 Ag 3.15-3.51, 2 Sn 3.34
Nd: 0.9838 0.9838 0.6602  7 Ag 3.20-3.57, 3 Sn 3.30-3.31
Ag: 0.3617 0.3617 0.4460  3 Sn 2.79-3.07, 1 Ag 2.84
Ag: 0.4686 0.4686 0.1093  1 Ag 2.86, 1 Sn 2.87, 1 Nd 3.15
Ag: 0.5314 0.5314 0.8907  1 Ag 2.86, 1 Sn 2.87, 1 Nd 3.15
Ag: 0.6383 0.6383 0.5540  3 Sn 2.79-3.07, 1 Ag 2.84
Sn: 0.2798 0.2798 0.6707  4 Ag 2.79-3.07
Sn: 0.7202 0.7202 0.3293  4 Ag 2.79-3.07

## Properties
The symmetry is C2/m (12). The formation energy comes out at -0.400 eV per atom.